No. 1
The following is a DFT calculation (PBE with a Hubbard U) of Tb3FeO6 after structural relaxation. Values from VASP.

Summary:
* energy: -7.9768 eV per atom

```
&SYSTEM
  ibrav = 0, nat = 20, ntyp = 3
/
ATOMIC_SPECIES
Tb 158.93 Tb.upf
Fe 55.84 Fe.upf
O 16.00 O.upf
ATOMIC_POSITIONS angstrom
Tb 4.477 4.465 2.751
Tb 2.746 1.184 3.008
Tb 2.746 -1.184 0.257
Tb 6.207 1.184 3.008
Tb 6.207 -1.184 0.257
Tb 4.477 -4.465 0.000
Fe 4.477 2.160 0.421
Fe 4.477 -2.160 3.172
O 3.058 2.961 1.414
O 1.436 0.176 1.508
O 1.436 -0.176 4.259
O 4.477 2.426 4.037
O 5.895 2.961 1.414
O 4.477 0.431 1.261
O 4.477 -0.431 4.012
O 3.058 -2.961 4.165
O 4.477 -2.426 1.286
O 7.517 0.176 1.508
O 7.517 -0.176 4.259
O 5.895 -2.961 4.165
CELL_PARAMETERS angstrom
4.477 -5.612 0.000
4.477 5.612 0.000
0.000 0.000 5.503
```

=====

No. 2
The following is a DFT calculation (PBE with a Hubbard U) of CaFeP2O8 after structural relaxation. Values from VASP.

Summary:
* energy: -6.9010 eV per atom

```
&SYSTEM
  ibrav = 0, nat = 12, ntyp = 4
/
ATOMIC_SPECIES
Ca 40.08 Ca.upf
Fe 55.84 Fe.upf
P 30.97 P.upf
O 16.00 O.upf
ATOMIC_POSITIONS angstrom
Ca 0.000 0.000 0.000
Fe 0.000 3.428 1.471
P 3.428 0.000 1.471
P 0.000 0.000 2.943
O 2.254 0.000 0.463
O 4.603 0.000 0.463
O 3.428 2.168 -0.910
O 3.428 -1.175 2.480
O 0.000 1.260 2.032
O 3.428 1.175 2.480
O 2.168 3.428 0.910
O 1.260 0.000 3.853
CELL_PARAMETERS angstrom
-3.428 3.428 2.943
3.428 -3.428 2.943
3.428 3.428 -2.943
```

=====

no.,size of the total moment (μB/atom)
1,0.498
2,0.506